(1)
Nd2ErTh3S6: relaxed, GGA-PBE.

The space group is C2/m (No. 12) and the conventional cell measures 17.6325, 4.0118 and 8.0692 Å, with angles of 90.00, 104.62 and 90.00 degrees. The asymmetric unit holds Nd at (0.1659, 0.0000, 0.3329), Er at (0.0000, 0.5000, 0.0000), Th at (0.0000, 0.5000, 0.5000), Th at (0.1689, 0.0000, 0.8342), S at (0.0016, 0.0000, 0.7631), S at (0.1610, 0.5000, 0.0803) and S at (0.1673, 0.5000, 0.5832).

The energy relative to the elements, uncorrected is -1.899 eV/atom. Its magnetization is 0.000 μB per cell.

---

(2)
NiSnBiIr2: relaxed, GGA-PBE.

The space group is P4/mmm (No. 123) and the conventional cell measures 4.9250, 4.9250 and 4.6378 Å, with angles of 90.00, 90.00 and 90.00 degrees. The asymmetric unit holds Ni at (0.0000, 0.0000, 0.0000), Sn at (0.0000, 0.0000, 0.5000), Bi at (0.5000, 0.5000, 0.0000) and Ir at (0.0000, 0.5000, 0.5000).

Its magnetization is 0.156 μB per cell. The energy of formation is 1.1245 eV per atom.

---

(3)
Fe2CuCl: relaxed, GGA-PBE.

The space group is Pmmm (No. 47) and the conventional cell measures 2.8665, 3.4090 and 6.4133 Å, with angles of 90.00, 90.00 and 90.00 degrees. The asymmetric unit holds Fe at (0.0000, 0.0000, 0.1877), Cu at (0.5000, 0.5000, 0.0000) and Cl at (0.5000, 0.0000, 0.5000).

As for the relative energy among the computed polymorphs: 0.14 eV/f.u. The energy relative to the elements, uncorrected is 0.207 eV/atom. Its magnetization is 5.962 μB per cell.

---

(4)
TlOs2RhF: relaxed, GGA-PBE.

The space group is P4/mmm (No. 123) and the conventional cell measures 4.1149, 4.1149 and 4.8393 Å, with angles of 90.00, 90.00 and 90.00 degrees. The asymmetric unit holds Tl at (0.0000, 0.0000, 0.0000), Os at (0.0000, 0.5000, 0.5000), Rh at (0.5000, 0.5000, 0.0000) and F at (0.0000, 0.0000, 0.5000).

The energy relative to the elements, uncorrected is 1.298 eV/atom. Its magnetization is 0.001 μB per cell.

---

(5)
TbPm4Sc4: relaxed, GGA-PBE.

The space group is I4/mmm (No. 139) and the conventional cell measures 10.4091, 10.4091 and 4.8879 Å, with angles of 90.00, 90.00 and 90.00 degrees. The asymmetric unit holds Tb at (0.0000, 0.0000, 0.0000), Pm at (0.0000, 0.3267, 0.0000) and Sc at (0.1658, 0.1658, 0.5000).

Its magnetization is 0.000 μB per cell. The energy of formation is 0.0598 eV per atom.

---

(6)
ZnPt2: relaxed, GGA-PBE.

The space group is Pa-3 (No. 205) and the conventional cell measures 5.9387, 5.9387 and 5.9387 Å, with angles of 90.00, 90.00 and 90.00 degrees. The asymmetric unit holds Zn at (0.0000, 0.0000, 0.0000) and Pt at (0.1274, 0.6274, 0.8726).

Its magnetization is 0.000 μB per cell. The energy of formation is 0.2112 eV per atom.

---

(7)
LaTmTe2Cl: relaxed, GGA-PBE.

The space group is P4/nmm (No. 129, origin choice 2) and the conventional cell measures 4.3817, 4.3817 and 15.0152 Å, with angles of 90.00, 90.00 and 90.00 degrees. The asymmetric unit holds La at (0.2500, 0.2500, 0.1370), Tm at (0.2500, 0.2500, 0.5849), Te at (0.2500, 0.2500, 0.3823), Te at (0.2500, 0.2500, 0.7908) and Cl at (0.2500, 0.7500, 0.0000).

The energy relative to the elements, uncorrected is -1.648 eV/atom. Its magnetization is 0.000 μB per cell.

---

(8)
TiMoPd3: relaxed, GGA-PBE.

The space group is Pm-3m (No. 221) and the conventional cell measures 4.5509, 4.5509 and 4.5509 Å, with angles of 90.00, 90.00 and 90.00 degrees. The asymmetric unit holds Ti at (0.0000, 0.0000, 0.0000), Mo at (0.5000, 0.5000, 0.5000) and Pd at (0.0000, 0.0000, 0.5000).

As for the relative energy among the computed polymorphs: 0.00 eV/f.u. Its magnetization is 0.000 μB per cell. The energy of formation is 0.9782 eV per atom.

---

(9)
KTaCd2: relaxed, GGA-PBE.

The space group is F-43m (No. 216) and the conventional cell measures 7.2993, 7.2993 and 7.2993 Å, with angles of 90.00, 90.00 and 90.00 degrees. The asymmetric unit holds K at (0.0000, 0.0000, 0.0000), Ta at (0.2500, 0.2500, 0.7500), Cd at (0.0000, 0.0000, 0.5000) and Cd at (0.2500, 0.2500, 0.2500).

As for the relative energy among the computed polymorphs: 2.84 eV/f.u. Its magnetization is 8.766 μB per cell. The energy of formation is 1.1037 eV per atom.

---

(10)
CdCo2Rh: relaxed, GGA-PBE.

The space group is R-3m (No. 166, hexagonal axes) and the conventional cell measures 2.7451, 2.7451 and 26.3428 Å, with angles of 90.00, 90.00 and 120.00 degrees. The asymmetric unit holds Cd at (0.0000, 0.0000, 0.0000), Co at (0.0000, 0.0000, 0.2440) and Rh at (0.0000, 0.0000, 0.5000).

Its magnetization is 13.549 μB per cell. The energy of formation is 0.2554 eV per atom.

---

(11)
SrIn2GaRu: relaxed, GGA-PBE.

The space group is P4/mmm (No. 123) and the conventional cell measures 5.1799, 5.1799 and 4.8547 Å, with angles of 90.00, 90.00 and 90.00 degrees. The asymmetric unit holds Sr at (0.0000, 0.0000, 0.0000), In at (0.0000, 0.5000, 0.5000), Ga at (0.5000, 0.5000, 0.0000) and Ru at (0.5000, 0.5000, 0.5000).

Its magnetization is 0.000 μB per cell. The energy of formation is -0.2347 eV per atom.